Li4Fe5CoO12: relaxed, PBE with a Hubbard U.

Values from the calculation:
The symmetry is C2/m. For the energy above the lowest structure with this stoichiometry, the calculation gives 0.0 meV/atom. As for the density of states at the Fermi level: 4.98 states/eV per cell.

Cell and atoms, written as POSCAR:
```
Li4Fe5CoO12
1.0
4.4129 2.5610 -0.1903
-4.4129 2.5610 -0.1903
0.0000 -0.5562 10.4087
Li Fe Co O
4 5 1 12
direct
0.6231 0.9542 0.2824
0.0458 0.3769 0.7176
0.9542 0.6231 0.2824
0.3769 0.0458 0.7176
0.8355 0.1645 0.0000
0.3365 0.6635 0.5000
0.6635 0.3365 0.5000
0.1645 0.8355 0.0000
0.5000 0.5000 0.0000
0.0000 0.0000 0.5000
0.6963 0.0339 0.6066
0.9661 0.3037 0.3934
0.4803 0.1416 0.9048
0.1416 0.4803 0.9048
0.8584 0.5197 0.0952
0.1672 0.1672 0.0969
0.5197 0.8584 0.0952
0.0339 0.6963 0.6066
0.3348 0.3348 0.6042
0.3037 0.9661 0.3934
0.6652 0.6652 0.3958
0.8328 0.8328 0.9031
```